# 1
VASP calculation (PBE) on a relaxed LiSc2Au2 crystal.

Computed properties:
**Total moment**: 0.00 μB/cell
**ΔH_f (0 K)**: -0.535 eV per atom

a b c (Å): 8.005 8.005 3.210
angles (deg): 90.00 90.00 90.00
Positions (direct):
1 Li 0.000 0.000 0.000
2 Li 0.500 0.500 0.000
3 Sc 0.150 0.350 0.000
4 Sc 0.350 0.850 0.000
5 Sc 0.650 0.150 0.000
6 Sc 0.850 0.650 0.000
7 Au 0.145 0.645 0.500
8 Au 0.355 0.145 0.500
9 Au 0.645 0.855 0.500
10 Au 0.855 0.355 0.500

***

# 2
VASP calculation (PBE) on a relaxed LiScAu4 crystal.

Computed properties:
**Total moment**: 0.00 μB/cell
**ΔH_f (0 K)**: -0.408 eV per atom

a b c (Å): 4.154 4.154 7.017
angles (deg): 90.00 90.00 96.19
Positions (direct):
1 Li 0.000 0.000 0.000
2 Sc 0.500 0.500 0.500
3 Au 0.000 0.500 0.229
4 Au 0.000 0.500 0.771
5 Au 0.500 0.000 0.229
6 Au 0.500 0.000 0.771

***

# 3
VASP calculation (PBE) on a relaxed LiSc2Au crystal.

Computed properties:
**Total moment**: 1.12 μB/cell
**ΔH_f (0 K)**: -0.358 eV per atom

a b c (Å): 3.468 3.468 6.611
angles (deg): 90.00 90.00 90.00
Positions (direct):
1 Li 0.000 0.000 0.000
2 Sc 0.000 0.000 0.572
3 Sc 0.500 0.500 0.255
4 Au 0.500 0.500 0.803

***

# 4
VASP calculation (PBE) on a relaxed LiSc2Au crystal.

Computed properties:
**Total moment**: 0.00 μB/cell
**ΔH_f (0 K)**: -0.078 eV per atom

a b c (Å): 6.180 6.180 6.180
angles (deg): 102.85 102.85 123.73
Positions (direct):
1 Li 0.000 0.000 0.000
2 Li 0.750 0.250 0.500
3 Sc 0.149 0.625 0.024
4 Sc 0.375 0.399 0.524
5 Sc 0.601 0.125 0.976
6 Sc 0.875 0.851 0.476
7 Au 0.250 0.750 0.500
8 Au 0.500 0.500 0.000

***

# 5
VASP calculation (PBE) on a relaxed LiSc2Au crystal.

Computed properties:
**Total moment**: 0.00 μB/cell
**ΔH_f (0 K)**: -0.403 eV per atom

a b c (Å): 4.710 4.710 3.512
angles (deg): 90.00 90.00 90.09
Positions (direct):
1 Li 0.000 0.000 0.000
2 Sc 0.000 0.500 0.500
3 Sc 0.500 0.000 0.500
4 Au 0.500 0.500 0.000

***

# 6
VASP calculation (PBE) on a relaxed LiSc4Au5 crystal.

Computed properties:
**Total moment**: 0.00 μB/cell
**ΔH_f (0 K)**: -0.760 eV per atom

a b c (Å): 3.385 3.385 16.512
angles (deg): 90.00 90.00 90.00
Positions (direct):
1 Li 0.000 0.000 0.000
2 Sc 0.000 0.000 0.188
3 Sc 0.000 0.000 0.396
4 Sc 0.000 0.000 0.604
5 Sc 0.000 0.000 0.812
6 Au 0.500 0.500 0.090
7 Au 0.500 0.500 0.294
8 Au 0.500 0.500 0.500
9 Au 0.500 0.500 0.706
10 Au 0.500 0.500 0.910

***

# 7
VASP calculation (PBE) on a relaxed LiSc2Au3 crystal.

Computed properties:
**Total moment**: 0.00 μB/cell
**ΔH_f (0 K)**: -0.726 eV per atom

a b c (Å): 3.373 3.373 9.664
angles (deg): 90.00 90.00 90.00
Positions (direct):
1 Li 0.000 0.000 0.000
2 Sc 0.000 0.000 0.320
3 Sc 0.000 0.000 0.680
4 Au 0.500 0.500 0.152
5 Au 0.500 0.500 0.500
6 Au 0.500 0.500 0.848

***

# 8
VASP calculation (PBE) on a relaxed Li7ScAu4 crystal.

Computed properties:
**Total moment**: 0.20 μB/cell
**ΔH_f (0 K)**: -0.256 eV per atom

a b c (Å): 7.005 7.005 8.430
angles (deg): 124.31 124.31 38.68
Positions (direct):
1 Li 0.000 0.000 0.000
2 Li 0.198 0.198 0.650
3 Li 0.284 0.284 0.124
4 Li 0.436 0.436 0.587
5 Li 0.564 0.564 0.413
6 Li 0.716 0.716 0.876
7 Li 0.802 0.802 0.350
8 Sc 0.500 0.500 0.000
9 Au 0.062 0.062 0.775
10 Au 0.190 0.190 0.338
11 Au 0.810 0.810 0.662
12 Au 0.938 0.938 0.225

***

# 9
VASP calculation (PBE) on a relaxed LiSc2Au crystal.

Computed properties:
**Total moment**: 0.00 μB/cell
**ΔH_f (0 K)**: -0.037 eV per atom

a b c (Å): 10.378 10.378 10.378
angles (deg): 18.46 18.46 18.46
Positions (direct):
1 Li 0.000 0.000 0.000
2 Sc 0.099 0.099 0.099
3 Sc 0.901 0.901 0.901
4 Au 0.500 0.500 0.500

***

# 10
VASP calculation (PBE) on a relaxed LiSc2Au crystal.

Computed properties:
**Total moment**: 0.00 μB/cell
**ΔH_f (0 K)**: -0.270 eV per atom

a b c (Å): 5.510 5.510 5.510
angles (deg): 136.53 136.53 63.16
Positions (direct):
1 Li 0.000 0.000 0.000
2 Sc 0.250 0.750 0.500
3 Sc 0.500 0.500 0.000
4 Au 0.750 0.250 0.500

***

# 11
VASP calculation (PBE) on a relaxed LiSc2Au3 crystal.

Computed properties:
**Total moment**: 0.00 μB/cell
**ΔH_f (0 K)**: -0.727 eV per atom

a b c (Å): 4.721 4.721 11.555
angles (deg): 90.00 90.00 120.00
Positions (direct):
1 Li 0.333 0.667 0.168
2 Li 0.667 0.333 0.832
3 Sc 0.000 0.000 0.000
4 Sc 0.000 0.000 0.500
5 Sc 0.333 0.667 0.679
6 Sc 0.667 0.333 0.321
7 Au 0.000 0.000 0.249
8 Au 0.000 0.000 0.751
9 Au 0.333 0.667 0.424
10 Au 0.333 0.667 0.924
11 Au 0.667 0.333 0.076
12 Au 0.667 0.333 0.576

***

# 12
VASP calculation (PBE) on a relaxed Li2ScAu4 crystal.

Computed properties:
**Total moment**: 0.00 μB/cell
**ΔH_f (0 K)**: -0.494 eV per atom

a b c (Å): 7.588 7.588 7.588
angles (deg): 146.96 146.96 47.42
Positions (direct):
1 Li 0.244 0.244 0.000
2 Li 0.756 0.756 0.000
3 Sc 0.500 0.500 0.000
4 Au 0.130 0.630 0.500
5 Au 0.370 0.870 0.500
6 Au 0.630 0.130 0.500
7 Au 0.870 0.370 0.500

***

# 13
VASP calculation (PBE) on a relaxed LiScAu4 crystal.

Computed properties:
**Total moment**: 0.00 μB/cell
**ΔH_f (0 K)**: -0.578 eV per atom

a b c (Å): 5.074 5.074 6.722
angles (deg): 108.62 108.62 41.22
Positions (direct):
1 Li 0.000 0.000 0.000
2 Sc 0.000 0.000 0.500
3 Au 0.335 0.335 0.680
4 Au 0.346 0.346 0.159
5 Au 0.654 0.654 0.841
6 Au 0.665 0.665 0.320

***

# 14
VASP calculation (PBE) on a relaxed Li2ScAuSe crystal.

Computed properties:
**Total moment**: 0.00 μB/cell
**Final energy**: -3.7303 eV/atom

a b c (Å): 4.582 4.582 5.394
angles (deg): 90.00 90.00 90.00
Positions (direct):
1 Li 0.000 0.500 0.000
2 Li 0.500 0.000 0.000
3 Sc 0.000 0.000 0.500
4 Au 0.000 0.000 0.000
5 Se 0.500 0.500 0.500

***

# 15
VASP calculation (PBE) on a relaxed SrLi2ScAu4 crystal.

Computed properties:
**Total moment**: 0.00 μB/cell
**ΔH_f (0 K)**: -0.649 eV per atom

a b c (Å): 9.447 9.447 9.447
angles (deg): 28.37 28.37 28.37
Positions (direct):
1 Sr 0.000 0.000 0.000
2 Li 0.239 0.239 0.239
3 Li 0.761 0.761 0.761
4 Sc 0.500 0.500 0.500
5 Au 0.129 0.129 0.129
6 Au 0.399 0.399 0.399
7 Au 0.601 0.601 0.601
8 Au 0.871 0.871 0.871

***

# 16
VASP calculation (PBE) on a relaxed SrLiSc2Au4 crystal.

Computed properties:
**Total moment**: 0.00 μB/cell
**ΔH_f (0 K)**: -0.678 eV per atom

a b c (Å): 9.502 9.502 9.502
angles (deg): 28.77 28.77 28.77
Positions (direct):
1 Sr 0.000 0.000 0.000
2 Li 0.500 0.500 0.500
3 Sc 0.232 0.232 0.232
4 Sc 0.768 0.768 0.768
5 Au 0.128 0.128 0.128
6 Au 0.404 0.404 0.404
7 Au 0.596 0.596 0.596
8 Au 0.872 0.872 0.872

***

# 17
VASP calculation (PBE) on a relaxed Sr2LiScAu crystal.

Computed properties:
**Total moment**: 0.00 μB/cell
**ΔH_f (0 K)**: -0.089 eV per atom

a b c (Å): 6.116 6.116 5.265
angles (deg): 90.00 90.00 90.00
Positions (direct):
1 Sr 0.000 0.500 0.000
2 Sr 0.500 0.000 0.000
3 Li 0.000 0.000 0.500
4 Sc 0.500 0.500 0.500
5 Au 0.500 0.500 0.000

***

# 18
VASP calculation (PBE) on a relaxed LiTbScAu crystal.

Computed properties:
**Total moment**: 0.00 μB/cell
**ΔH_f (0 K)**: -0.390 eV per atom

a b c (Å): 4.967 4.967 4.967
angles (deg): 60.00 60.00 60.00
Positions (direct):
1 Li 0.000 0.000 0.000
2 Tb 0.250 0.250 0.250
3 Sc 0.750 0.750 0.750
4 Au 0.500 0.500 0.500

***

# 19
VASP calculation (PBE) on a relaxed LiScTe2Au crystal.

Computed properties:
**Total moment**: 0.00 μB/cell
**Final energy**: -4.2868 eV/atom

a b c (Å): 7.348 4.914 7.226
angles (deg): 90.00 92.83 90.00
Positions (direct):
1 Li 0.000 0.048 0.250
2 Li 0.000 0.952 0.750
3 Sc 0.500 0.499 0.250
4 Sc 0.500 0.501 0.750
5 Te 0.205 0.329 0.985
6 Te 0.205 0.671 0.485
7 Te 0.795 0.329 0.515
8 Te 0.795 0.671 0.015
9 Au 0.500 0.000 0.000
10 Au 0.500 0.000 0.500

***

# 20
VASP calculation (PBE) on a relaxed LiThScAu crystal.

Computed properties:
**Total moment**: 0.25 μB/cell
**ΔH_f (0 K)**: -0.213 eV per atom

a b c (Å): 5.068 5.068 5.068
angles (deg): 60.00 60.00 60.00
Positions (direct):
1 Li 0.000 0.000 0.000
2 Th 0.750 0.750 0.750
3 Sc 0.250 0.250 0.250
4 Au 0.500 0.500 0.500

***

# 21
VASP calculation (PBE) on a relaxed LiThSc2Au4 crystal.

Computed properties:
**Total moment**: 0.00 μB/cell
**ΔH_f (0 K)**: -0.676 eV per atom

a b c (Å): 8.942 8.942 8.942
angles (deg): 30.82 30.82 30.82
Positions (direct):
1 Li 0.000 0.000 0.000
2 Th 0.500 0.500 0.500
3 Sc 0.263 0.263 0.263
4 Sc 0.737 0.737 0.737
5 Au 0.106 0.106 0.106
6 Au 0.376 0.376 0.376
7 Au 0.624 0.624 0.624
8 Au 0.894 0.894 0.894

***

# 22
VASP calculation (PBE) on a relaxed LiScTlAu crystal.

Computed properties:
**Total moment**: 0.00 μB/cell
**ΔH_f (0 K)**: -0.447 eV per atom

a b c (Å): 3.423 3.423 6.772
angles (deg): 90.00 90.00 90.00
Positions (direct):
1 Li 0.000 0.000 0.000
2 Sc 0.000 0.000 0.455
3 Tl 0.500 0.500 0.754
4 Au 0.500 0.500 0.223

***

# 23
VASP calculation (PBE) on a relaxed LiScTlAu crystal.

Computed properties:
**Total moment**: 0.00 μB/cell
**ΔH_f (0 K)**: -0.465 eV per atom

a b c (Å): 4.801 4.801 4.801
angles (deg): 60.00 60.00 60.00
Positions (direct):
1 Li 0.000 0.000 0.000
2 Sc 0.500 0.500 0.500
3 Tl 0.250 0.250 0.250
4 Au 0.750 0.750 0.750

***

# 24
VASP calculation (PBE) on a relaxed Li2TmScAu4 crystal.

Computed properties:
**Total moment**: 0.00 μB/cell
**ΔH_f (0 K)**: -0.707 eV per atom

a b c (Å): 8.272 8.272 8.272
angles (deg): 33.06 33.06 33.06
Positions (direct):
1 Li 0.248 0.248 0.248
2 Li 0.752 0.752 0.752
3 Tm 0.000 0.000 0.000
4 Sc 0.500 0.500 0.500
5 Au 0.127 0.127 0.127
6 Au 0.379 0.379 0.379
7 Au 0.621 0.621 0.621
8 Au 0.873 0.873 0.873

***

# 25
VASP calculation (PBE) on a relaxed LiTmScAu crystal.

Computed properties:
**Total moment**: 0.00 μB/cell
**ΔH_f (0 K)**: -0.416 eV per atom

a b c (Å): 4.914 4.914 4.914
angles (deg): 60.00 60.00 60.00
Positions (direct):
1 Li 0.000 0.000 0.000
2 Tm 0.250 0.250 0.250
3 Sc 0.750 0.750 0.750
4 Au 0.500 0.500 0.500

***

# 26
VASP calculation (PBE) on a relaxed LiTmSc2Au4 crystal.

Computed properties:
**Total moment**: 0.00 μB/cell
**ΔH_f (0 K)**: -0.751 eV per atom

a b c (Å): 8.420 8.420 8.420
angles (deg): 32.93 32.93 32.93
Positions (direct):
1 Li 0.000 0.000 0.000
2 Tm 0.500 0.500 0.500
3 Sc 0.256 0.256 0.256
4 Sc 0.744 0.744 0.744
5 Au 0.118 0.118 0.118
6 Au 0.376 0.376 0.376
7 Au 0.624 0.624 0.624
8 Au 0.882 0.882 0.882